(1)
# Cs6K10Tl

An optimized crystal structure of Cs6K10Tl (PBE-GGA, Alexandria via LeMat-Bulk).

Cell and atoms, written as CIF:
```
data_Cs6K10Tl
_chemical_formula_sum 'Cs6 K10 Tl1'
_cell_length_a 13.6401
_cell_length_b 13.6401
_cell_length_c 8.8463
_cell_angle_alpha 90.00
_cell_angle_beta 90.00
_cell_angle_gamma 120.00
_space_group_name_H-M_alt 'P -3 1 m'
_space_group_IT_number 162
_space_group_name_Hall '-P 3 2'
loop_
_atom_site_label
_atom_site_type_symbol
_atom_site_fract_x
_atom_site_fract_y
_atom_site_fract_z
_atom_site_occupancy
Cs1 Cs 0.0000 0.3923 0.2540 1
K1 K 0.0000 0.2117 0.7496 1
K2 K 0.3333 0.6667 0.0000 1
K3 K 0.3333 0.6667 0.5000 1
Tl1 Tl 0.0000 0.0000 0.5000 1
```

***

(2)
# Ho2Tl2InS6

An optimized crystal structure of Ho2Tl2InS6 (PBE-GGA, Alexandria via LeMat-Bulk).

Cell and atoms, written as CIF:
```
data_Ho2Tl2InS6
_chemical_formula_sum 'Ho4 Tl4 In2 S12'
_cell_length_a 6.8641
_cell_length_b 11.8945
_cell_length_c 7.5733
_cell_angle_alpha 90.00
_cell_angle_beta 107.72
_cell_angle_gamma 90.00
_space_group_name_H-M_alt 'C 1 2/m 1'
_space_group_IT_number 12
loop_
_space_group_symop_operation_xyz
'x,y,z'
'-x,-y,-z'
'-x,y,-z'
'x,-y,z'
'x+1/2,y+1/2,z'
'-x+1/2,-y+1/2,-z'
'-x+1/2,y+1/2,-z'
'x+1/2,-y+1/2,z'
loop_
_atom_site_label
_atom_site_type_symbol
_atom_site_fract_x
_atom_site_fract_y
_atom_site_fract_z
_atom_site_occupancy
Ho1 Ho 0.0000 0.1680 0.0000 1
Tl1 Tl 0.0000 0.3303 0.5000 1
In1 In 0.0000 0.5000 0.0000 1
S1 S 0.2346 0.3333 0.2069 1
S2 S 0.2490 0.0000 0.1984 1
```

***

(3)
# YAlNi

An optimized crystal structure of YAlNi (PBE-GGA, Alexandria via LeMat-Bulk).

Cell and atoms, written as CIF:
```
data_YAlNi
_chemical_formula_sum 'Y3 Al3 Ni3'
_cell_length_a 7.6385
_cell_length_b 7.6385
_cell_length_c 3.3919
_cell_angle_alpha 90.00
_cell_angle_beta 90.00
_cell_angle_gamma 120.00
_space_group_name_H-M_alt 'P -6 2 m'
_space_group_IT_number 189
_space_group_name_Hall 'P -6 -2'
loop_
_atom_site_label
_atom_site_type_symbol
_atom_site_fract_x
_atom_site_fract_y
_atom_site_fract_z
_atom_site_occupancy
Y1 Y 0.0000 0.7207 0.0000 1
Al1 Al 0.0000 0.3831 0.5000 1
Ni1 Ni 0.0000 0.0000 0.5000 1
Ni2 Ni 0.3333 0.6667 0.0000 1
```

***

(4)
# GaHg2I

An optimized crystal structure of GaHg2I (PBE-GGA, Alexandria via LeMat-Bulk).

Cell and atoms, written as CIF:
```
data_GaHg2I
_chemical_formula_sum 'Ga3 Hg6 I3'
_cell_length_a 4.3894
_cell_length_b 4.3894
_cell_length_c 22.6216
_cell_angle_alpha 90.00
_cell_angle_beta 90.00
_cell_angle_gamma 120.00
_space_group_name_H-M_alt 'R 3 m'
_space_group_IT_number 160
_space_group_name_Hall 'R 3 -2"'
loop_
_atom_site_label
_atom_site_type_symbol
_atom_site_fract_x
_atom_site_fract_y
_atom_site_fract_z
_atom_site_occupancy
Ga1 Ga 0.0000 0.0000 0.0000 1
Hg1 Hg 0.0000 0.0000 0.4006 1
Hg2 Hg 0.0000 0.0000 0.5948 1
I1 I 0.0000 0.0000 0.8290 1
```

Results
Relative energy among the computed polymorphs in kJ/mol of atoms: 8.9

***

(5)
# LiHgTe

An optimized crystal structure of LiHgTe (PBE-GGA, Alexandria via LeMat-Bulk).

Cell and atoms, written as CIF:
```
data_LiHgTe
_chemical_formula_sum 'Li1 Hg1 Te1'
_cell_length_a 4.4940
_cell_length_b 4.4940
_cell_length_c 4.2972
_cell_angle_alpha 90.00
_cell_angle_beta 90.00
_cell_angle_gamma 120.00
_space_group_name_H-M_alt 'P 3 m 1'
_space_group_IT_number 156
loop_
_space_group_symop_operation_xyz
'x,y,z'
'-y,x-y,z'
'-x+y,-x,z'
'-y,-x,z'
'-x+y,y,z'
'x,x-y,z'
loop_
_atom_site_label
_atom_site_type_symbol
_atom_site_fract_x
_atom_site_fract_y
_atom_site_fract_z
_atom_site_occupancy
Li1 Li 0.0000 0.0000 0.0000 1
Hg1 Hg 0.3333 0.6667 0.6609 1
Te1 Te 0.6667 0.3333 0.2338 1
```

Results
Relative energy among the computed polymorphs in kJ/mol of atoms: 5.3

***

(6)
# TiPdPb3

An optimized crystal structure of TiPdPb3 (PBE-GGA, Alexandria via LeMat-Bulk).

Cell and atoms, written as CIF:
```
data_TiPdPb3
_chemical_formula_sum 'Ti1 Pd1 Pb3'
_cell_length_a 5.3100
_cell_length_b 5.3100
_cell_length_c 5.3100
_cell_angle_alpha 90.00
_cell_angle_beta 90.00
_cell_angle_gamma 90.00
_space_group_name_H-M_alt 'P m -3 m'
_space_group_IT_number 221
_space_group_name_Hall '-P 4 2 3'
loop_
_atom_site_label
_atom_site_type_symbol
_atom_site_fract_x
_atom_site_fract_y
_atom_site_fract_z
_atom_site_occupancy
Ti1 Ti 0.0000 0.0000 0.0000 1
Pd1 Pd 0.5000 0.5000 0.5000 1
Pb1 Pb 0.0000 0.5000 0.5000 1
```

Results
Relative energy among the computed polymorphs in kJ/mol of atoms: 7.1

***

(7)
# CsSr2MgZn

An optimized crystal structure of CsSr2MgZn (PBE-GGA, Alexandria via LeMat-Bulk).

Cell and atoms, written as CIF:
```
data_CsSr2MgZn
_chemical_formula_sum 'Cs1 Sr2 Mg1 Zn1'
_cell_length_a 6.3390
_cell_length_b 6.3390
_cell_length_c 5.4612
_cell_angle_alpha 90.00
_cell_angle_beta 90.00
_cell_angle_gamma 90.00
_space_group_name_H-M_alt 'P 4/m m m'
_space_group_IT_number 123
_space_group_name_Hall '-P 4 2'
loop_
_atom_site_label
_atom_site_type_symbol
_atom_site_fract_x
_atom_site_fract_y
_atom_site_fract_z
_atom_site_occupancy
Cs1 Cs 0.0000 0.0000 0.0000 1
Sr1 Sr 0.0000 0.5000 0.5000 1
Mg1 Mg 0.5000 0.5000 0.0000 1
Zn1 Zn 0.5000 0.5000 0.5000 1
```

***

(8)
# MgOs2Pb

An optimized crystal structure of MgOs2Pb (PBE-GGA, Alexandria via LeMat-Bulk).

Cell and atoms, written as CIF:
```
data_MgOs2Pb
_chemical_formula_sum 'Mg1 Os2 Pb1'
_cell_length_a 4.1189
_cell_length_b 4.1189
_cell_length_c 4.0358
_cell_angle_alpha 90.00
_cell_angle_beta 90.00
_cell_angle_gamma 90.00
_space_group_name_H-M_alt 'P 4/m m m'
_space_group_IT_number 123
_space_group_name_Hall '-P 4 2'
loop_
_atom_site_label
_atom_site_type_symbol
_atom_site_fract_x
_atom_site_fract_y
_atom_site_fract_z
_atom_site_occupancy
Mg1 Mg 0.0000 0.0000 0.0000 1
Os1 Os 0.0000 0.5000 0.5000 1
Pb1 Pb 0.5000 0.5000 0.0000 1
```

***

Number 1: ρ 1.62 Mg/m³, energy -17.892 eV for the cell shown. Number 2: ρ 5.90 Mg/m³, energy -107.497 eV for the cell shown. Number 3: ρ 5.07 Mg/m³, energy -50.183 eV for the cell shown. Number 4: ρ 7.89 Mg/m³, energy -16.271 eV for the cell shown. Number 5: ρ 7.40 Mg/m³, energy -6.431 eV for the cell shown. Number 6: ρ 8.61 Mg/m³, energy -21.111 eV for the cell shown. Number 7: ρ 3.01 Mg/m³, energy -6.561 eV for the cell shown. Number 8: ρ 14.84 Mg/m³, energy -24.722 eV for the cell shown.